Here is a relaxed ReIrCl2 crystal from the Alexandria database. Energies are from GGA-PBE.

Computed properties:
- raw formation energy (eV/atom) = 0.21
- size of the total moment (Bohr magnetons per cell) = 0.0
- relative energy among the computed polymorphs (meV/atom) = 157
- DOS(E_F) (states/eV/cell) = 4.3

a b c (Å): 9.5528 9.5528 9.5528
angles (deg): 17.97 17.97 17.97
Closest atoms and distances in Å follow each position.
Atoms (fractional coordinates):
Re  0.7553  0.7553  0.7553  3 Cl 2.55, 3 Ir 2.62
Ir  0.4919  0.4919  0.4919  3 Re 2.62, 3 Cl 2.66
Cl  0.0221  0.0221  0.0221  3 Re 2.55
Cl  0.2307  0.2307  0.2307  3 Ir 2.66